Record 1
VASP calculation (PBE) on a geometry-optimized AcInP2 structure.

Structure (POSCAR):
```
AcInP2
1.0
3.895 0.000 0.000
0.000 3.895 0.000
0.000 0.000 6.277
P Ac In
2 1 1
Direct
0.000 0.000 0.798 P
0.000 0.000 0.202 P
0.500 0.500 0.500 Ac
0.500 0.500 0.000 In
```

Summary:
V ... 23.81 A^3/atom
Energy above the most stable polymorph in this dataset ... 0.286 eV per atom
Symmetry ... P4/mmm

***

Record 2
VASP calculation (PBE) on a geometry-optimized Ac2InP structure.

Structure (POSCAR):
```
Ac2InP
1.0
-1.190 0.871 3.499
-3.434 -1.398 -0.820
2.450 -7.618 2.730
P Ac In
1 2 1
Direct
0.500 0.500 0.000 P
0.000 0.000 0.787 Ac
0.000 0.000 0.213 Ac
0.500 0.500 0.500 In
```

Summary:
V ... 30.48 A^3/atom
Energy above the most stable polymorph in this dataset ... 0.115 eV per atom
Symmetry ... P4/mmm

***

Record 3
VASP calculation (PBE) on a geometry-optimized AcInP2 structure.

Structure (POSCAR):
```
AcInP2
1.0
-3.397 1.842 0.488
-2.312 -3.622 -2.421
-0.691 -2.401 4.252
P Ac In
2 1 1
Direct
0.000 0.000 0.500 P
0.000 0.500 0.000 P
0.500 0.500 0.500 Ac
0.500 0.000 0.000 In
```

Summary:
V ... 23.68 A^3/atom
Energy above the most stable polymorph in this dataset ... 0.126 eV per atom
Symmetry ... P4/mmm

***

Record 4
VASP calculation (PBE) on a geometry-optimized Ac3InP structure.

Structure (POSCAR):
```
Ac3InP
1.0
5.828 0.000 0.000
0.000 5.828 0.000
0.000 0.000 5.828
P Ac In
1 3 1
Direct
0.000 0.000 0.000 P
0.000 0.500 0.000 Ac
0.000 0.000 0.500 Ac
0.500 0.000 0.000 Ac
0.500 0.500 0.500 In
```

Summary:
V ... 39.60 A^3/atom
Energy above the most stable polymorph in this dataset ... 0.147 eV per atom
Symmetry ... Pm-3m

***

Record 5
VASP calculation (PBE) on a geometry-optimized AcInP structure.

Structure (POSCAR):
```
AcInP
1.0
4.566 0.000 0.000
-2.283 3.954 0.000
0.000 0.000 4.772
P Ac In
1 1 1
Direct
0.667 0.333 0.400 P
0.000 0.000 0.031 Ac
0.333 0.667 0.570 In
```

Summary:
V ... 28.72 A^3/atom
Energy above the most stable polymorph in this dataset ... 0.290 eV per atom
Symmetry ... P3m1

***

Record 6
VASP calculation (PBE) on a geometry-optimized Ac6In2P structure.

Structure (POSCAR):
```
Ac6In2P
1.0
7.044 0.000 -0.026
0.000 9.281 0.000
0.303 0.000 10.700
Ac In P
12 4 2
Direct
0.114 0.035 0.230 Ac
0.126 0.307 0.561 Ac
0.142 0.336 0.941 Ac
0.358 0.836 0.559 Ac
0.374 0.807 0.939 Ac
0.386 0.535 0.270 Ac
0.886 0.965 0.770 Ac
0.874 0.693 0.439 Ac
0.858 0.664 0.059 Ac
0.642 0.164 0.441 Ac
0.626 0.193 0.061 Ac
0.614 0.465 0.730 Ac
0.065 0.620 0.742 In
0.435 0.120 0.758 In
0.565 0.880 0.242 In
0.935 0.380 0.258 In
0.500 0.500 0.000 P
0.000 0.000 0.500 P
```

Summary:
V ... 38.87 A^3/atom
Total energy ... -4.412 eV per atom
Symmetry ... P2_1/c

***

Record 7
VASP calculation (PBE) on a geometry-optimized AcInP2 structure.

Structure (POSCAR):
```
AcInP2
1.0
-4.255 -0.367 0.162
-2.235 -0.566 -3.599
-1.585 -6.734 -0.495
P Ac In
2 1 1
Direct
0.259 0.259 0.222 P
0.741 0.741 0.778 P
0.500 0.500 0.500 Ac
0.000 0.000 0.000 In
```

Summary:
V ... 25.64 A^3/atom
Energy above the most stable polymorph in this dataset ... 0.000 eV per atom
Symmetry ... R-3m

***

Record 8
VASP calculation (PBE) on a geometry-optimized Ac2InP structure.

Structure (POSCAR):
```
Ac2InP
1.0
4.352 0.000 0.000
2.176 3.769 0.000
2.176 1.256 8.553
P Ac In
1 2 1
Direct
0.500 0.500 0.500 P
0.763 0.763 0.710 Ac
0.237 0.237 0.290 Ac
0.000 0.000 0.000 In
```

Summary:
V ... 35.08 A^3/atom
Energy above the most stable polymorph in this dataset ... 0.000 eV per atom
Symmetry ... R-3m